No. 1
The following is a DFT calculation (PBE) of a relaxed structure of Ti11Ga9Pd4.

Summary:
* space group: Cmmm
* total moment: 2.63 Bohr magnetons per cell
* ΔH_f (0 K): -0.48 eV per atom
* total DFT energy (no corrections): -6.10 eV per atom

a b c (Å): 12.1254 12.1254 2.9060
angles (deg): 90.00 90.00 116.51
Atoms (fractional coordinates):
1 Ti 0.0000 0.0000 0.0000
2 Ti 0.0315 0.3998 0.0000
3 Ti 0.1828 0.8172 0.0000
4 Ti 0.2311 0.2311 0.0000
5 Ti 0.3799 0.6201 0.0000
6 Ti 0.3998 0.0315 0.0000
7 Ti 0.6002 0.9685 0.0000
8 Ti 0.6201 0.3799 0.0000
9 Ti 0.7689 0.7689 0.0000
10 Ti 0.8172 0.1828 0.0000
11 Ti 0.9685 0.6002 0.0000
12 Ga 0.0226 0.2029 0.5000
13 Ga 0.1730 0.6149 0.5000
14 Ga 0.2029 0.0226 0.5000
15 Ga 0.3851 0.8270 0.5000
16 Ga 0.5000 0.5000 0.5000
17 Ga 0.6149 0.1730 0.5000
18 Ga 0.7971 0.9774 0.5000
19 Ga 0.8270 0.3851 0.5000
20 Ga 0.9774 0.7971 0.5000
21 Pd 0.2329 0.4206 0.5000
22 Pd 0.4206 0.2329 0.5000
23 Pd 0.5794 0.7671 0.5000
24 Pd 0.7671 0.5794 0.5000

No. 2
The following is a DFT calculation (PBE) of a relaxed structure of PrAl2Tc2C.

Summary:
* space group: P4/mmm
* total moment: 0.00 Bohr magnetons per cell
* ΔH_f (0 K): -0.37 eV per atom
* total DFT energy (no corrections): -7.41 eV per atom

a b c (Å): 4.1980 4.1980 5.6632
angles (deg): 90.00 90.00 90.00
Atoms (fractional coordinates):
1 Pr 0.0000 0.0000 0.0000
2 Al 0.5000 0.5000 0.2335
3 Al 0.5000 0.5000 0.7665
4 Tc 0.0000 0.5000 0.5000
5 Tc 0.5000 0.0000 0.5000
6 C 0.0000 0.0000 0.5000

No. 3
The following is a DFT calculation (PBE) of a relaxed structure of AcNdTmCd.

Summary:
* space group: P4mm
* total moment: 0.00 Bohr magnetons per cell
* ΔH_f (0 K): -0.12 eV per atom
* total DFT energy (no corrections): -3.69 eV per atom
* distance to the lowest polymorph of the same formula: 0.000 eV per atom

a b c (Å): 3.7924 3.7924 9.0406
angles (deg): 90.00 90.00 90.00
Atoms (fractional coordinates):
1 Ac 0.0000 0.0000 0.0000
2 Nd 0.5000 0.5000 0.7011
3 Tm 0.5000 0.5000 0.2847
4 Cd 0.0000 0.0000 0.4757

No. 4
The following is a DFT calculation (PBE) of a relaxed structure of MgUPd6.

Summary:
* space group: P4/mmm
* total moment: 0.86 Bohr magnetons per cell
* ΔH_f (0 K): -0.58 eV per atom
* total DFT energy (no corrections): -6.08 eV per atom
* distance to the lowest polymorph of the same formula: 0.000 eV per atom

a b c (Å): 4.0725 4.0725 7.9953
angles (deg): 90.00 90.00 90.00
Atoms (fractional coordinates):
1 Mg 0.0000 0.0000 0.0000
2 U 0.0000 0.0000 0.5000
3 Pd 0.0000 0.5000 0.2505
4 Pd 0.0000 0.5000 0.7495
5 Pd 0.5000 0.0000 0.2505
6 Pd 0.5000 0.0000 0.7495
7 Pd 0.5000 0.5000 0.0000
8 Pd 0.5000 0.5000 0.5000